Entry 1:
# ZnCo17 (PBE, optimized geometry)
data_ZnCo17
_chemical_formula_sum 'Zn2 Co34'
_space_group_name_H-M_alt 'P 1'
_space_group_IT_number 1
_cell_length_a 4.961
_cell_length_b 4.961
_cell_length_c 31.289
_cell_angle_alpha 90.00
_cell_angle_beta 90.00
_cell_angle_gamma 120.00
loop_
_space_group_symop_operation_xyz
'x,y,z'
loop_
_atom_site_label
_atom_site_fract_x
_atom_site_fract_y
_atom_site_fract_z
Zn1 0.333 0.667 0.264
Zn2 0.667 0.333 0.736
Co1 0.000 0.000 0.000
Co2 0.000 0.000 0.195
Co3 0.000 0.000 0.805
Co4 0.000 0.500 0.000
Co5 0.008 0.504 0.805
Co6 0.166 0.332 0.130
Co7 0.166 0.333 0.935
Co8 0.166 0.834 0.130
Co9 0.166 0.834 0.935
Co10 0.169 0.337 0.741
Co11 0.169 0.831 0.741
Co12 0.332 0.166 0.870
Co13 0.333 0.166 0.065
Co14 0.333 0.667 0.065
Co15 0.333 0.667 0.869
Co16 0.337 0.169 0.259
Co17 0.496 0.504 0.805
Co18 0.496 0.992 0.805
Co19 0.500 0.000 0.000
Co20 0.500 0.500 0.000
Co21 0.504 0.008 0.195
Co22 0.504 0.496 0.195
Co23 0.663 0.831 0.741
Co24 0.667 0.333 0.131
Co25 0.667 0.333 0.935
Co26 0.667 0.834 0.935
Co27 0.668 0.834 0.130
Co28 0.831 0.169 0.259
Co29 0.831 0.663 0.259
Co30 0.834 0.166 0.065
Co31 0.834 0.166 0.870
Co32 0.834 0.667 0.065
Co33 0.834 0.668 0.870
Co34 0.992 0.496 0.195
# - size of the total moment (μB per formula unit) = 27.560

***

Entry 2:
# ZnCo2 (PBE, optimized geometry)
data_ZnCo2
_chemical_formula_sum 'Zn2 Co4'
_space_group_name_H-M_alt 'P 1'
_space_group_IT_number 1
_cell_length_a 4.888
_cell_length_b 4.888
_cell_length_c 3.835
_cell_angle_alpha 90.00
_cell_angle_beta 90.00
_cell_angle_gamma 90.00
loop_
_space_group_symop_operation_xyz
'x,y,z'
loop_
_atom_site_label
_atom_site_fract_x
_atom_site_fract_y
_atom_site_fract_z
Zn1 0.000 0.000 0.000
Zn2 0.500 0.500 0.500
Co1 0.174 0.174 0.500
Co2 0.326 0.674 0.000
Co3 0.674 0.326 0.000
Co4 0.826 0.826 0.500
# - size of the total moment (μB per formula unit) = 3.106

***

Entry 3:
# ZnCo3 (PBE, optimized geometry)
data_ZnCo3
_chemical_formula_sum 'Zn1 Co3'
_space_group_name_H-M_alt 'P 1'
_space_group_IT_number 1
_cell_length_a 4.022
_cell_length_b 4.022
_cell_length_c 4.022
_cell_angle_alpha 60.00
_cell_angle_beta 60.00
_cell_angle_gamma 60.00
loop_
_space_group_symop_operation_xyz
'x,y,z'
loop_
_atom_site_label
_atom_site_fract_x
_atom_site_fract_y
_atom_site_fract_z
Zn1 0.000 0.000 0.000
Co1 0.250 0.250 0.250
Co2 0.500 0.500 0.500
Co3 0.750 0.750 0.750
# - size of the total moment (μB per formula unit) = 0.037

***

Entry 4:
# ZnCo (PBE, optimized geometry)
data_ZnCo
_chemical_formula_sum 'Zn1 Co1'
_space_group_name_H-M_alt 'P 1'
_space_group_IT_number 1
_cell_length_a 2.590
_cell_length_b 2.590
_cell_length_c 4.186
_cell_angle_alpha 90.00
_cell_angle_beta 90.00
_cell_angle_gamma 120.00
loop_
_space_group_symop_operation_xyz
'x,y,z'
loop_
_atom_site_label
_atom_site_fract_x
_atom_site_fract_y
_atom_site_fract_z
Zn1 0.000 0.000 0.000
Co1 0.333 0.667 0.500
# - size of the total moment (μB per formula unit) = 1.355

***

Entry 5:
# Zn3Co (PBE, optimized geometry)
data_Zn3Co
_chemical_formula_sum 'Zn6 Co2'
_space_group_name_H-M_alt 'P 1'
_space_group_IT_number 1
_cell_length_a 5.274
_cell_length_b 5.274
_cell_length_c 4.238
_cell_angle_alpha 90.00
_cell_angle_beta 90.00
_cell_angle_gamma 120.00
loop_
_space_group_symop_operation_xyz
'x,y,z'
loop_
_atom_site_label
_atom_site_fract_x
_atom_site_fract_y
_atom_site_fract_z
Zn1 0.171 0.342 0.250
Zn2 0.171 0.829 0.250
Zn3 0.342 0.171 0.750
Zn4 0.658 0.829 0.250
Zn5 0.829 0.171 0.750
Zn6 0.829 0.658 0.750
Co1 0.333 0.667 0.750
Co2 0.667 0.333 0.250
# - size of the total moment (μB per formula unit) = 0.001

***

Entry 6:
# Zn2Co (PBE, optimized geometry)
data_Zn2Co
_chemical_formula_sum 'Zn2 Co1'
_space_group_name_H-M_alt 'P 1'
_space_group_IT_number 1
_cell_length_a 3.979
_cell_length_b 3.979
_cell_length_c 3.979
_cell_angle_alpha 60.00
_cell_angle_beta 60.00
_cell_angle_gamma 60.00
loop_
_space_group_symop_operation_xyz
'x,y,z'
loop_
_atom_site_label
_atom_site_fract_x
_atom_site_fract_y
_atom_site_fract_z
Zn1 0.250 0.250 0.250
Zn2 0.750 0.750 0.750
Co1 0.000 0.000 0.000
# - size of the total moment (μB per formula unit) = 0.004

***

Entry 7:
# Zn3Co (PBE, optimized geometry)
data_Zn3Co
_chemical_formula_sum 'Zn9 Co3'
_space_group_name_H-M_alt 'P 1'
_space_group_IT_number 1
_cell_length_a 5.205
_cell_length_b 5.205
_cell_length_c 6.445
_cell_angle_alpha 90.00
_cell_angle_beta 90.00
_cell_angle_gamma 120.00
loop_
_space_group_symop_operation_xyz
'x,y,z'
loop_
_atom_site_label
_atom_site_fract_x
_atom_site_fract_y
_atom_site_fract_z
Zn1 0.000 0.500 0.000
Zn2 0.167 0.333 0.333
Zn3 0.167 0.833 0.333
Zn4 0.333 0.167 0.667
Zn5 0.500 0.000 0.000
Zn6 0.500 0.500 0.000
Zn7 0.667 0.833 0.333
Zn8 0.833 0.167 0.667
Zn9 0.833 0.667 0.667
Co1 0.000 0.000 0.001
Co2 0.333 0.667 0.665
Co3 0.667 0.333 0.334
# - size of the total moment (μB per formula unit) = 0.470

***

Entry 8:
# ZnCo10 (PBE, optimized geometry)
data_ZnCo10
_chemical_formula_sum 'Zn2 Co20'
_space_group_name_H-M_alt 'P 1'
_space_group_IT_number 1
_cell_length_a 4.277
_cell_length_b 4.277
_cell_length_c 27.808
_cell_angle_alpha 90.23
_cell_angle_beta 90.23
_cell_angle_gamma 47.89
loop_
_space_group_symop_operation_xyz
'x,y,z'
loop_
_atom_site_label
_atom_site_fract_x
_atom_site_fract_y
_atom_site_fract_z
Zn1 0.150 0.150 0.199
Zn2 0.850 0.850 0.801
Co1 0.046 0.046 0.685
Co2 0.051 0.051 0.401
Co3 0.149 0.149 0.767
Co4 0.150 0.150 0.486
Co5 0.249 0.249 0.571
Co6 0.255 0.255 0.288
Co7 0.349 0.349 0.656
Co8 0.350 0.350 0.372
Co9 0.450 0.450 0.458
Co10 0.450 0.450 0.742
Co11 0.550 0.550 0.258
Co12 0.550 0.550 0.542
Co13 0.650 0.650 0.628
Co14 0.651 0.651 0.344
Co15 0.745 0.745 0.712
Co16 0.751 0.751 0.429
Co17 0.850 0.850 0.514
Co18 0.851 0.851 0.233
Co19 0.949 0.949 0.599
Co20 0.954 0.954 0.315
# - size of the total moment (μB per formula unit) = 15.787

***

Entry 9:
# ZnCo (PBE, optimized geometry)
data_ZnCo
_chemical_formula_sum 'Zn2 Co2'
_space_group_name_H-M_alt 'P 1'
_space_group_IT_number 1
_cell_length_a 4.083
_cell_length_b 4.083
_cell_length_c 4.083
_cell_angle_alpha 60.12
_cell_angle_beta 60.12
_cell_angle_gamma 60.12
loop_
_space_group_symop_operation_xyz
'x,y,z'
loop_
_atom_site_label
_atom_site_fract_x
_atom_site_fract_y
_atom_site_fract_z
Zn1 0.125 0.125 0.125
Zn2 0.875 0.875 0.875
Co1 0.375 0.375 0.375
Co2 0.625 0.625 0.625
# - size of the total moment (μB per formula unit) = 0.005

***

Entry 10:
# Zn3Co (PBE, optimized geometry)
data_Zn3Co
_chemical_formula_sum 'Zn6 Co2'
_space_group_name_H-M_alt 'P 1'
_space_group_IT_number 1
_cell_length_a 4.198
_cell_length_b 5.201
_cell_length_c 4.685
_cell_angle_alpha 90.00
_cell_angle_beta 90.00
_cell_angle_gamma 90.00
loop_
_space_group_symop_operation_xyz
'x,y,z'
loop_
_atom_site_label
_atom_site_fract_x
_atom_site_fract_y
_atom_site_fract_z
Zn1 0.250 0.002 0.164
Zn2 0.250 0.498 0.164
Zn3 0.250 0.750 0.646
Zn4 0.750 0.250 0.354
Zn5 0.750 0.502 0.836
Zn6 0.750 0.998 0.836
Co1 0.250 0.250 0.664
Co2 0.750 0.750 0.336
# - size of the total moment (μB per formula unit) = 0.003

***

Entry 11:
# ZnCo (PBE, optimized geometry)
data_ZnCo
_chemical_formula_sum 'Zn2 Co2'
_space_group_name_H-M_alt 'P 1'
_space_group_IT_number 1
_cell_length_a 2.607
_cell_length_b 4.192
_cell_length_c 4.414
_cell_angle_alpha 90.00
_cell_angle_beta 90.00
_cell_angle_gamma 90.00
loop_
_space_group_symop_operation_xyz
'x,y,z'
loop_
_atom_site_label
_atom_site_fract_x
_atom_site_fract_y
_atom_site_fract_z
Zn1 0.250 0.250 0.085
Zn2 0.750 0.750 0.915
Co1 0.250 0.750 0.426
Co2 0.750 0.250 0.574
# - size of the total moment (μB per formula unit) = 0.006

***

Entry 12:
# Zn2Co (PBE, optimized geometry)
data_Zn2Co
_chemical_formula_sum 'Zn16 Co8'
_space_group_name_H-M_alt 'P 1'
_space_group_IT_number 1
_cell_length_a 6.931
_cell_length_b 4.237
_cell_length_c 10.477
_cell_angle_alpha 90.00
_cell_angle_beta 100.77
_cell_angle_gamma 90.00
loop_
_space_group_symop_operation_xyz
'x,y,z'
loop_
_atom_site_label
_atom_site_fract_x
_atom_site_fract_y
_atom_site_fract_z
Zn1 0.051 0.250 0.317
Zn2 0.056 0.250 0.076
Zn3 0.062 0.250 0.568
Zn4 0.077 0.250 0.820
Zn5 0.287 0.750 0.102
Zn6 0.288 0.750 0.346
Zn7 0.390 0.250 0.486
Zn8 0.393 0.250 0.988
Zn9 0.607 0.750 0.012
Zn10 0.610 0.750 0.514
Zn11 0.712 0.250 0.654
Zn12 0.713 0.250 0.898
Zn13 0.923 0.750 0.180
Zn14 0.938 0.750 0.432
Zn15 0.944 0.750 0.924
Zn16 0.949 0.750 0.683
Co1 0.283 0.750 0.606
Co2 0.286 0.750 0.841
Co3 0.387 0.250 0.734
Co4 0.405 0.250 0.239
Co5 0.595 0.750 0.761
Co6 0.613 0.750 0.266
Co7 0.714 0.250 0.159
Co8 0.717 0.250 0.394
# - size of the total moment (μB per formula unit) = 0.938

***

Energy relative to the elements: 0.146 1.142 0.267 0.043 -0.044 0.259 -0.040 0.139 0.138 -0.042 0.100 0.024 (eV/atom)